DFT (PBE) results for an optimized crystal structure of LuPuOsPd.

abc: 4.825 4.825 4.825
angles: 60.00 60.00 60.00
Positions (direct):
Lu 0.000 0.000 0.000
Pu 0.500 0.500 0.500
Os 0.250 0.250 0.250
Pd 0.750 0.750 0.750

Output
DOS(E_F)	7.4	states/eV per cell
final energy	-9.20	eV/atom
formation energy	-0.3828	eV per atom
space-group type	F-43m



DFT (PBE) results for an optimized crystal structure of LiDyGa.

abc: 4.108 4.108 4.108
angles: 76.31 76.31 76.31
Positions (direct):
Li 0.000 0.000 0.000
Dy 0.626 0.626 0.626
Ga 0.286 0.286 0.286

Output
DOS(E_F)	1.8	states/eV per cell
final energy	-3.43	eV/atom
formation energy	-0.2448	eV per atom
offset from the most stable computed form	158	meV/atom
space-group type	R3m



DFT (PBE) results for an optimized crystal structure of LiTcHgCl6.

abc: 6.447 6.447 12.148
angles: 90.00 90.00 120.00
Positions (direct):
Li 0.333 0.667 0.250
Li 0.667 0.333 0.750
Tc 0.333 0.667 0.750
Tc 0.667 0.333 0.250
Hg 0.000 0.000 0.000
Hg 0.000 0.000 0.500
Cl 0.021 0.379 0.636
Cl 0.021 0.642 0.864
Cl 0.358 0.379 0.864
Cl 0.358 0.979 0.636
Cl 0.379 0.021 0.136
Cl 0.379 0.358 0.364
Cl 0.621 0.642 0.636
Cl 0.621 0.979 0.864
Cl 0.642 0.021 0.364
Cl 0.642 0.621 0.136
Cl 0.979 0.358 0.136
Cl 0.979 0.621 0.364

Output
DOS(E_F)	2.7	states/eV per cell
final energy	-3.48	eV/atom
space-group type	P-31c
ΔE_f (raw)	-0.849	eV/atom



> Number 2 is which compound?

LiDyGa



> Which of these has the highest final energy?

LiDyGa



> Among the records above, which one has the highest DOS(E_F)?

LuPuOsPd